! PPdSeBr2 (PBE, optimized geometry); values from VASP
! Formation energy from raw total energies, meV/atom: 547
! D(E_F), states/eV/f.u.: 6.8
! M_tot, μB/cell: 0.81
! Calculated volume, Å³ per cell: 125.3
! Raw total energy, eV/atom: -2.94
! Energy above the lowest structure with this stoichiometry, kJ/mol of formula units: 0
&SYSTEM
  ibrav = 0, nat = 5, ntyp = 4
/
ATOMIC_SPECIES
P 30.97 P.upf
Pd 106.42 Pd.upf
Se 78.96 Se.upf
Br 79.90 Br.upf
ATOMIC_POSITIONS crystal
P 0.000 0.000 0.000
Pd 0.500 0.500 0.500
Se 0.000 0.000 0.500
Br 0.000 0.500 0.000
Br 0.500 0.000 0.000
CELL_PARAMETERS angstrom
5.111 0.000 0.000
0.000 5.111 0.000
0.000 0.000 4.796